(1)
Below is a geometry-optimized LaPr3P2Br2 structure, with properties calculated at the PBE level.

Cell lengths 4.1633, 4.1633, 15.0023 Å; angles 90.00, 90.00, 120.00 degrees
With the nearest neighbours (Å) after each atom.
Atoms (fractional coordinates):
La  0.0000  0.0000  0.1025  3 P 2.87
Br  0.6667  0.3333  0.2528  3 Pr 3.26, 3 La 3.30
Br  0.0000  0.0000  0.7490  6 Pr 3.26
P  0.3333  0.6667  0.9979  3 Pr 2.85, 3 La 2.87
P  0.3333  0.6667  0.5006  6 Pr 2.84
Pr  0.0000  0.0000  0.3993  3 P 2.84
Pr  0.6667  0.3333  0.8962  3 P 2.85
Pr  0.6667  0.3333  0.6017  3 P 2.84

Calculated values
ρ = 5.8 g cm⁻³
Uncorrected energy = -5.720 eV per atom
M_tot = 0.007 μB per formula unit



(2)
Below is a geometry-optimized La2Pd2Br structure, with properties calculated at the PBE level.

Cell lengths 4.4508, 4.4508, 8.1847 Å; angles 90.00, 90.00, 120.00 degrees
With the nearest neighbours (Å) after each atom.
Atoms (fractional coordinates):
La  0.6667  0.3333  0.7247  6 Pd 3.16, 3 Br 3.42
La  0.6667  0.3333  0.2753  6 Pd 3.16, 3 Br 3.42
Pd  0.0000  0.0000  0.5000  3 Pd 2.57
Pd  0.3333  0.6667  0.5000  3 Pd 2.57
Br  0.3333  0.6667  0.0000  6 La 3.42

Calculated values
ρ = 6.7 g cm⁻³
Uncorrected energy = -5.364 eV per atom
M_tot = 0.244 μB per formula unit



(3)
Below is a geometry-optimized LaPrSbBr2 structure, with properties calculated at the PBE level.

Cell lengths 4.4341, 4.4341, 11.1799 Å; angles 90.00, 90.00, 120.00 degrees
With the nearest neighbours (Å) after each atom.
Atoms (fractional coordinates):
Br  0.0000  0.0000  0.3190  3 Pr 3.10
Br  0.3333  0.6667  0.6793  3 La 3.11
Sb  0.6667  0.3333  0.0017  3 Pr 3.13, 3 La 3.15
La  0.0000  0.0000  0.8370  3 Br 3.11, 3 Sb 3.15
Pr  0.3333  0.6667  0.1630  3 Br 3.10, 3 Sb 3.13

Calculated values
ρ = 4.9 g cm⁻³
Uncorrected energy = -5.024 eV per atom
M_tot = 0.001 μB per formula unit



(4)
Below is a geometry-optimized LaPrSi2Br2 structure, with properties calculated at the PBE level.

Cell lengths 4.1600, 4.1600, 11.6102 Å; angles 90.00, 90.00, 120.00 degrees
With the nearest neighbours (Å) after each atom.
Atoms (fractional coordinates):
La  0.0000  0.0000  0.8235  3 Br 3.08, 6 Si 3.12-3.22
Br  0.6667  0.3333  0.3402  3 Pr 3.06
Br  0.3333  0.6667  0.6568  3 La 3.08
Pr  0.0000  0.0000  0.1767  3 Br 3.06, 6 Si 3.10-3.20
Si  0.6667  0.3333  0.9952  3 Si 2.41
Si  0.3333  0.6667  0.0077  3 Si 2.41

Calculated values
ρ = 4.7 g cm⁻³
Uncorrected energy = -5.281 eV per atom
M_tot = 0.000 μB per formula unit



(5)
Below is a geometry-optimized LaSmSbBr2 structure, with properties calculated at the PBE level.

Cell lengths 4.3856, 4.3856, 11.1025 Å; angles 90.00, 90.00, 120.00 degrees
With the nearest neighbours (Å) after each atom.
Atoms (fractional coordinates):
Br  0.0000  0.0000  0.6837  3 Sm 3.05
Br  0.6667  0.3333  0.3234  3 La 3.10
La  0.0000  0.0000  0.1622  3 Br 3.10, 3 Sb 3.15
Sb  0.3333  0.6667  0.9936  3 Sm 3.07, 3 La 3.15
Sm  0.6667  0.3333  0.8370  3 Br 3.05, 3 Sb 3.07

Calculated values
ρ = 5.1 g cm⁻³
Uncorrected energy = -4.996 eV per atom
M_tot = 0.001 μB per formula unit



(6)
Below is a geometry-optimized LaSmSi2Br2 structure, with properties calculated at the PBE level.

Cell lengths 4.1362, 4.1362, 11.4886 Å; angles 90.00, 90.00, 120.00 degrees
With the nearest neighbours (Å) after each atom.
Atoms (fractional coordinates):
Br  0.3333  0.6667  0.6634  3 Sm 3.02
Br  0.6667  0.3333  0.3455  3 La 3.08
La  0.0000  0.0000  0.1760  3 Br 3.08, 6 Si 3.11-3.22
Sm  0.0000  0.0000  0.8242  3 Br 3.02, 6 Si 3.04-3.14
Si  0.6667  0.3333  0.9886  3 Si 2.39
Si  0.3333  0.6667  0.0023  3 Si 2.39

Calculated values
ρ = 4.9 g cm⁻³
Uncorrected energy = -5.263 eV per atom
M_tot = 0.001 μB per formula unit



(7)
Below is a geometry-optimized La4TcBr5 structure, with properties calculated at the PBE level.

Cell lengths 9.7000, 9.7000, 9.1269 Å; angles 105.86, 105.86, 25.35 degrees
With the nearest neighbours (Å) after each atom.
Atoms (fractional coordinates):
La  0.6458  0.6458  0.0830  1 Tc 2.65
La  0.9972  0.9972  0.7714  2 Tc 2.97, 4 Br 3.07-3.28
La  0.3542  0.3542  0.9170  1 Tc 2.65
La  0.0028  0.0028  0.2286  2 Tc 2.97, 4 Br 3.07-3.28
Br  0.5000  0.5000  0.5000  4 La 3.28
Br  0.1715  0.1715  0.3365  3 La 3.07-3.08
Br  0.1697  0.1697  0.8478  4 La 3.14-3.37
Br  0.8285  0.8285  0.6635  3 La 3.07-3.08
Br  0.8303  0.8303  0.1522  4 La 3.14-3.37
Tc  0.5000  0.5000  0.0000  2 La 2.65

Calculated values
ρ = 5.0 g cm⁻³
Uncorrected energy = -5.255 eV per atom
M_tot = 0.089 μB per formula unit



(8)
Below is a geometry-optimized La2ZrBr2 structure, with properties calculated at the PBE level.

Cell lengths 8.5009, 8.5006, 4.5903 Å; angles 74.34, 74.33, 31.33 degrees
With the nearest neighbours (Å) after each atom.
Atoms (fractional coordinates):
La  0.8835  0.8835  0.1165  4 Br 3.11
La  0.1165  0.1165  0.8835  4 Br 3.11
Br  0.2500  0.2500  0.2500  4 La 3.11, 4 Br 3.25
Br  0.7500  0.7500  0.7500  4 La 3.11, 4 Br 3.25
Zr  0.5000  0.5000  0.5000  8 La 3.73

Calculated values
ρ = 5.3 g cm⁻³
Uncorrected energy = -4.833 eV per atom
M_tot = 3.973 μB per formula unit



(9)
Below is a geometry-optimized Li5Mo2Br2 structure, with properties calculated at the PBE level.

Cell lengths 20.6197, 20.6197, 20.6197 Å; angles 8.35, 8.35, 8.35 degrees
With the nearest neighbours (Å) after each atom.
Atoms (fractional coordinates):
Li  0.9988  0.9988  0.9988  3 Br 2.42
Li  0.7328  0.7328  0.7328  1 Br 2.46
Li  0.4738  0.4738  0.4738  1 Br 2.44
Li  0.6230  0.6230  0.6230  3 Mo 2.87, 9 Li 3.00-3.13
Li  0.8750  0.8750  0.8750  3 Br 2.46, 1 Mo 2.72
Mo  0.1032  0.1032  0.1032  6 Li 2.87-2.88, 6 Mo 3.00
Mo  0.9192  0.9192  0.9192  4 Li 2.72-2.87, 6 Mo 3.00
Br  0.5133  0.5133  0.5133  4 Li 2.44-2.46
Br  0.6929  0.6929  0.6929  4 Li 2.42-2.46

Calculated values
ρ = 4.0 g cm⁻³
Uncorrected energy = -3.701 eV per atom
M_tot = 0.127 μB per formula unit



(10)
Below is a geometry-optimized Rb2LiNbBr6 structure, with properties calculated at the PBE level.

Cell lengths 7.6228, 7.6228, 7.6228 Å; angles 120.00, 120.00, 60.01 degrees
With the nearest neighbours (Å) after each atom.
Atoms (fractional coordinates):
Li  0.5000  0.5000  0.0000  6 Br 2.74
Br  0.7545  0.2466  0.2545  1 Nb 2.65, 1 Li 2.74
Br  0.7539  0.7539  0.2528  1 Nb 2.65, 1 Li 2.74
Br  0.2466  0.7545  0.2545  1 Nb 2.65, 1 Li 2.74
Br  0.7534  0.2455  0.7455  1 Nb 2.65, 1 Li 2.74
Br  0.2461  0.2461  0.7472  1 Nb 2.65, 1 Li 2.74
Br  0.2455  0.7534  0.7455  1 Nb 2.65, 1 Li 2.74
Nb  0.0000  0.0000  0.5000  6 Br 2.65
Rb  0.2501  0.2501  0.2500  12 Br 3.80-3.82
Rb  0.7499  0.7499  0.7500  12 Br 3.80-3.82

Calculated values
ρ = 4.0 g cm⁻³
Uncorrected energy = -3.701 eV per atom
M_tot = 2.002 μB per formula unit



(11)
Below is a geometry-optimized Rb2LiNbBr6 structure, with properties calculated at the PBE level.

Cell lengths 7.6517, 7.6517, 7.6517 Å; angles 120.90, 120.90, 88.45 degrees
With the nearest neighbours (Å) after each atom.
Atoms (fractional coordinates):
Br  0.2848  0.7930  0.0778  1 Nb 2.66, 1 Li 2.74
Br  0.7562  0.7562  0.0000  1 Nb 2.67, 1 Li 2.81
Br  0.2438  0.2438  0.0000  1 Nb 2.67, 1 Li 2.81
Br  0.7152  0.2070  0.9222  1 Nb 2.66, 1 Li 2.74
Br  0.2070  0.2848  0.4918  1 Nb 2.66, 1 Li 2.74
Br  0.7930  0.7152  0.5082  1 Nb 2.66, 1 Li 2.74
Li  0.5000  0.5000  0.0000  6 Br 2.74-2.81
Nb  0.0000  0.0000  0.0000  6 Br 2.66-2.67
Rb  0.2500  0.7500  0.5000  8 Br 3.55-3.77
Rb  0.7500  0.2500  0.5000  8 Br 3.55-3.77

Calculated values
ρ = 4.0 g cm⁻³
Uncorrected energy = -3.702 eV per atom
M_tot = 2.003 μB per formula unit



(12)
Below is a geometry-optimized LiTl2NiBr6 structure, with properties calculated at the PBE level.

Cell lengths 7.0696, 7.5594, 12.6524 Å; angles 90.00, 122.96, 90.00 degrees
With the nearest neighbours (Å) after each atom.
Atoms (fractional coordinates):
Br  0.2334  0.7031  0.0197  1 Li 2.55, 1 Ni 2.72
Br  0.6936  0.8204  0.9726  1 Ni 2.42
Br  0.6936  0.6796  0.4726  1 Ni 2.42
Br  0.1703  0.9891  0.2252  1 Ni 2.42
Br  0.3064  0.3204  0.5274  1 Ni 2.42
Br  0.1703  0.5108  0.7252  1 Ni 2.42
Br  0.8297  0.0108  0.7748  1 Ni 2.42
Br  0.7666  0.2031  0.4803  1 Li 2.55, 1 Ni 2.72
Br  0.2334  0.7969  0.5197  1 Li 2.55, 1 Ni 2.72
Br  0.8297  0.4891  0.2748  1 Ni 2.42
Br  0.3064  0.1796  0.0274  1 Ni 2.42
Br  0.7666  0.2969  0.9803  1 Li 2.55, 1 Ni 2.72
Ni  0.0000  0.5000  0.5000  4 Br 2.42
Ni  0.0000  0.0000  0.0000  4 Br 2.42
Tl  0.7289  0.5668  0.7562  9 Br 3.37-3.77
Tl  0.2711  0.0668  0.7438  9 Br 3.37-3.77
Tl  0.2711  0.4332  0.2438  9 Br 3.37-3.77
Tl  0.7289  0.9332  0.2562  9 Br 3.37-3.77
Li  0.5000  0.5000  0.0000  2 Br 2.55
Li  0.5000  0.0000  0.5000  2 Br 2.55

Calculated values
ρ = 5.6 g cm⁻³
Uncorrected energy = -2.925 eV per atom
M_tot = 1.000 μB per formula unit



(13)
Below is a geometry-optimized LiOs2Br2 structure, with properties calculated at the PBE level.

Cell lengths 4.4332, 4.4332, 11.3371 Å; angles 90.00, 90.00, 120.00 degrees
With the nearest neighbours (Å) after each atom.
Atoms (fractional coordinates):
Br  0.3333  0.6667  0.1082  4 Os 2.60-2.90, 3 Li 2.84
Br  0.6667  0.3333  0.8918  4 Os 2.60-2.90, 3 Li 2.84
Br  0.6667  0.3333  0.6082  4 Os 2.60-2.90, 3 Li 2.84
Br  0.3333  0.6667  0.3918  4 Os 2.60-2.90, 3 Li 2.84
Os  0.6667  0.3333  0.3526  1 Os 2.33, 3 Br 2.60
Os  0.6667  0.3333  0.1474  1 Os 2.33, 3 Br 2.60
Os  0.3333  0.6667  0.6474  1 Os 2.33, 3 Br 2.60
Os  0.3333  0.6667  0.8526  1 Os 2.33, 3 Br 2.60
Li  0.0000  0.0000  0.0000  6 Br 2.84, 6 Os 3.06
Li  0.0000  0.0000  0.5000  6 Br 2.84, 6 Os 3.06

Calculated values
ρ = 9.4 g cm⁻³
Uncorrected energy = -4.564 eV per atom
M_tot = 1.014 μB per formula unit



(14)
Below is a geometry-optimized Li3PrBr structure, with properties calculated at the PBE level.

Cell lengths 4.9817, 4.9817, 4.9817 Å; angles 90.00, 90.00, 90.00 degrees
With the nearest neighbours (Å) after each atom.
Atoms (fractional coordinates):
Pr  0.0000  0.0000  0.0000  12 Li 3.52
Li  0.0000  0.5000  0.5000  2 Br 2.49
Li  0.5000  0.5000  0.0000  2 Br 2.49
Li  0.5000  0.0000  0.5000  2 Br 2.49
Br  0.5000  0.5000  0.5000  6 Li 2.49

Calculated values
ρ = 3.2 g cm⁻³
Uncorrected energy = -2.554 eV per atom
M_tot = 0.602 μB per formula unit



(15)
Below is a geometry-optimized Li2PtBr6 structure, with properties calculated at the PBE level.

Cell lengths 6.6724, 6.4990, 12.9776 Å; angles 90.00, 120.93, 90.00 degrees
With the nearest neighbours (Å) after each atom.
Atoms (fractional coordinates):
Br  0.1976  0.7277  0.0006  1 Pt 2.51, 2 Li 2.70-2.71
Br  0.1727  0.2115  0.3397  1 Pt 2.51, 1 Li 2.62
Br  0.8024  0.2277  0.4994  1 Pt 2.51, 2 Li 2.70-2.71
Br  0.8273  0.7885  0.6603  1 Pt 2.51, 1 Li 2.62
Br  0.4902  0.2155  0.6581  1 Pt 2.51, 1 Li 2.62
Br  0.5098  0.7155  0.8419  1 Pt 2.51, 1 Li 2.62
Br  0.8273  0.7115  0.1603  1 Pt 2.51, 1 Li 2.62
Br  0.5098  0.7845  0.3419  1 Pt 2.51, 1 Li 2.62
Br  0.1976  0.7723  0.5006  1 Pt 2.51, 2 Li 2.70-2.71
Br  0.1727  0.2885  0.8397  1 Pt 2.51, 1 Li 2.62
Br  0.4902  0.2845  0.1581  1 Pt 2.51, 1 Li 2.62
Br  0.8024  0.2723  0.9994  1 Pt 2.51, 2 Li 2.70-2.71
Li  0.8344  0.9990  0.3346  6 Br 2.62-2.93
Li  0.1656  0.4990  0.1654  6 Br 2.62-2.93
Li  0.1656  0.0010  0.6654  6 Br 2.62-2.93
Li  0.8344  0.5010  0.8346  6 Br 2.62-2.93
Pt  0.5000  0.5000  0.0000  6 Br 2.51
Pt  0.5000  0.0000  0.5000  6 Br 2.51

Calculated values
ρ = 4.7 g cm⁻³
Uncorrected energy = -3.032 eV per atom
M_tot = 0.002 μB per formula unit



(16)
Below is a geometry-optimized Rb2LiPuBr6 structure, with properties calculated at the PBE level.

Cell lengths 7.8770, 7.8770, 7.8770 Å; angles 119.94, 119.94, 90.11 degrees
With the nearest neighbours (Å) after each atom.
Atoms (fractional coordinates):
Br  0.2560  0.2560  0.5121  1 Li 2.72, 1 Pu 2.85
Br  0.7440  0.2560  0.0000  1 Li 2.72, 1 Pu 2.85
Br  0.2560  0.7440  0.0000  1 Li 2.72, 1 Pu 2.85
Br  0.2555  0.2555  0.0000  1 Li 2.72, 1 Pu 2.84
Br  0.7440  0.7440  0.4879  1 Li 2.72, 1 Pu 2.85
Br  0.7445  0.7445  0.0000  1 Li 2.72, 1 Pu 2.84
Pu  0.0000  0.0000  0.0000  6 Br 2.84-2.85
Rb  0.7500  0.2500  0.5000  12 Br 3.94
Rb  0.2500  0.7500  0.5000  12 Br 3.94
Li  0.5000  0.5000  0.0000  6 Br 2.72

Calculated values
ρ = 4.3 g cm⁻³
Uncorrected energy = -4.441 eV per atom
M_tot = 4.996 μB per formula unit



(17)
Below is a geometry-optimized Rb2LiTcBr6 structure, with properties calculated at the PBE level.

Cell lengths 7.5074, 7.5074, 7.5074 Å; angles 119.91, 119.91, 90.16 degrees
With the nearest neighbours (Å) after each atom.
Atoms (fractional coordinates):
Tc  0.5000  0.5000  0.0000  6 Br 2.56
Rb  0.7500  0.2500  0.5000  12 Br 3.75-3.76
Rb  0.2500  0.7500  0.5000  12 Br 3.75-3.76
Br  0.2581  0.2581  0.0000  1 Tc 2.56, 1 Li 2.74
Br  0.7412  0.2588  0.0000  1 Tc 2.56, 1 Li 2.75
Br  0.7412  0.7412  0.4825  1 Tc 2.56, 1 Li 2.75
Br  0.7419  0.7419  0.0000  1 Tc 2.56, 1 Li 2.74
Br  0.2588  0.2588  0.5175  1 Tc 2.56, 1 Li 2.75
Br  0.2588  0.7412  0.0000  1 Tc 2.56, 1 Li 2.75
Li  0.0000  0.0000  0.0000  6 Br 2.74-2.75

Calculated values
ρ = 4.2 g cm⁻³
Uncorrected energy = -3.521 eV per atom
M_tot = 1.994 μB per formula unit



(18)
Below is a geometry-optimized LuBr3 structure, with properties calculated at the PBE level.

Cell lengths 6.5728, 6.5728, 11.9310 Å; angles 90.00, 90.00, 90.00 degrees
With the nearest neighbours (Å) after each atom.
Atoms (fractional coordinates):
Br  0.3010  0.6990  0.5000  2 Lu 2.74
Br  0.7041  0.2959  0.1650  2 Lu 2.74-2.75
Br  0.7041  0.2959  0.8350  2 Lu 2.74-2.75
Br  0.2041  0.2041  0.6650  2 Lu 2.74-2.75
Br  0.6990  0.3010  0.5000  2 Lu 2.74
Br  0.2959  0.7041  0.8350  2 Lu 2.74-2.75
Br  0.7959  0.7959  0.6650  2 Lu 2.74-2.75
Br  0.2041  0.2041  0.3350  2 Lu 2.74-2.75
Br  0.1990  0.1990  0.0000  2 Lu 2.74
Br  0.8010  0.8010  0.0000  2 Lu 2.74
Br  0.7959  0.7959  0.3350  2 Lu 2.74-2.75
Br  0.2959  0.7041  0.1650  2 Lu 2.74-2.75
Lu  0.5000  0.5000  0.6695  6 Br 2.74-2.75
Lu  0.0000  0.0000  0.8305  6 Br 2.74-2.75
Lu  0.0000  0.0000  0.1695  6 Br 2.74-2.75
Lu  0.5000  0.5000  0.3305  6 Br 2.74-2.75

Calculated values
ρ = 5.3 g cm⁻³
Uncorrected energy = -4.187 eV per atom
M_tot = 0.001 μB per formula unit



(19)
Below is a geometry-optimized Lu3Br2 structure, with properties calculated at the PBE level.

Cell lengths 6.9387, 6.9387, 7.4463 Å; angles 117.77, 62.23, 120.00 degrees
With the nearest neighbours (Å) after each atom.
Atoms (fractional coordinates):
Br  0.8322  0.1678  0.5034  6 Lu 2.75-2.91
Br  0.1678  0.8322  0.4966  6 Lu 2.75-2.91
Br  0.6678  0.3322  0.9966  6 Lu 2.75-2.91
Br  0.3322  0.6678  0.0034  6 Lu 2.75-2.91
Lu  0.6046  0.7500  0.2500  4 Br 2.75-2.91
Lu  0.8954  0.3954  0.2500  4 Br 2.75-2.91
Lu  0.1046  0.6046  0.7500  4 Br 2.75-2.91
Lu  0.3954  0.2500  0.7500  4 Br 2.75-2.91
Lu  0.2500  0.1046  0.2500  4 Br 2.75-2.91
Lu  0.7500  0.8954  0.7500  4 Br 2.75-2.91

Calculated values
ρ = 8.7 g cm⁻³
Uncorrected energy = -3.792 eV per atom
M_tot = 0.001 μB per formula unit



(20)
Below is a geometry-optimized LuBr2 structure, with properties calculated at the PBE level.

Cell lengths 7.0456, 7.0456, 3.5928 Å; angles 90.00, 90.00, 90.00 degrees
With the nearest neighbours (Å) after each atom.
Atoms (fractional coordinates):
Br  0.7178  0.7178  0.0000  3 Lu 2.81-2.82
Br  0.2178  0.7822  0.5000  3 Lu 2.81-2.82
Br  0.7822  0.2178  0.5000  3 Lu 2.81-2.82
Br  0.2822  0.2822  0.0000  3 Lu 2.81-2.82
Lu  0.0000  0.0000  0.0000  6 Br 2.81-2.82
Lu  0.5000  0.5000  0.5000  6 Br 2.81-2.82

Calculated values
ρ = 6.2 g cm⁻³
Uncorrected energy = -4.003 eV per atom
M_tot = 0.056 μB per formula unit